Entry 1:
DFT (PBE) results for crystalline NaTl3Ru at its relaxed geometry.

Energy above the most stable polymorph in this dataset = 0 meV/atom
Total DFT energy (no corrections) = -3.38 eV per atom
Formation enthalpy at 0 K = 0.1614 eV per atom

```
data_NaTl3Ru
_symmetry_space_group_name_H-M 'P m -3 m'
_symmetry_Int_Tables_number 221
_symmetry_space_group_name_Hall '-P 4 2 3'
_cell_length_a 5.319
_cell_length_b 5.319
_cell_length_c 5.319
_cell_angle_alpha 90.00
_cell_angle_beta 90.00
_cell_angle_gamma 90.00
loop_
_atom_site_label
_atom_site_fract_x
_atom_site_fract_y
_atom_site_fract_z
Na1 0.000 0.000 0.000
Tl1 0.000 0.500 0.500
Ru1 0.500 0.500 0.500
```

---

Entry 2:
DFT (PBE) results for crystalline NaTl3Ru at its relaxed geometry.

Energy above the most stable polymorph in this dataset = 1072 meV/atom
Total DFT energy (no corrections) = -2.31 eV per atom
Formation enthalpy at 0 K = 1.2337 eV per atom

```
data_NaTl3Ru
_symmetry_space_group_name_H-M 'P m -3 m'
_symmetry_Int_Tables_number 221
_symmetry_space_group_name_Hall '-P 4 2 3'
_cell_length_a 5.398
_cell_length_b 5.398
_cell_length_c 5.398
_cell_angle_alpha 90.00
_cell_angle_beta 90.00
_cell_angle_gamma 90.00
loop_
_atom_site_label
_atom_site_fract_x
_atom_site_fract_y
_atom_site_fract_z
Na1 0.000 0.000 0.000
Tl1 0.000 0.000 0.500
Ru1 0.500 0.500 0.500
```